No. 1
## LaNdTm2 (PBE-GGA)

Data for a geometry-optimized LaNdTm2 structure.

Calculated values
E_form	416	meV/atom
calculated volume	33.415	Å³ per atom
magnetic moment	0.001	μB/f.u.
DOS(E_F)	13.5	states/eV per cell

abc: 7.1447 7.1447 7.1447
angles: 102.81 102.81 123.82
With the nearest neighbours (Å) after each atom.
Atoms (fractional coordinates):
La1 0.0000 0.0000 0.0000  4 Tm 3.27, 2 Nd 3.36
La2 0.7500 0.2500 0.5000  4 Tm 3.27, 2 Nd 3.36
Nd1 0.2500 0.7500 0.5000  4 Tm 3.26, 2 La 3.36
Nd2 0.5000 0.5000 0.0000  4 Tm 3.26, 2 La 3.36
Tm1 0.1259 0.6250 0.0009  2 Nd 3.26, 2 La 3.27, 2 Tm 3.36
Tm2 0.3750 0.3759 0.5009  2 Nd 3.26, 2 La 3.27, 2 Tm 3.36
Tm3 0.6241 0.1250 0.9991  2 Nd 3.26, 2 La 3.27, 2 Tm 3.36
Tm4 0.8750 0.8741 0.4991  2 Nd 3.26, 2 La 3.27, 2 Tm 3.36

***

No. 2
## LaNd5Tm2 (PBE-GGA)

Data for a geometry-optimized LaNd5Tm2 structure.

Calculated values
E_form	31	meV/atom
calculated volume	34.511	Å³ per atom
magnetic moment	0.000	μB/f.u.
DOS(E_F)	11.5	states/eV per cell

abc: 8.9893 8.9893 8.9893
angles: 156.84 101.44 83.24
With the nearest neighbours (Å) after each atom.
Atoms (fractional coordinates):
La1 0.0000 0.0000 0.0000  2 La 3.61, 4 Tm 3.73, 8 Nd 4.00
Nd1 0.1383 0.3672 0.7712  3 Tm 3.42-3.58, 7 Nd 3.57-3.66
Nd2 0.4040 0.6328 0.7712  3 Tm 3.42-3.58, 7 Nd 3.57-3.66
Nd3 0.5000 0.0000 0.5000  2 Tm 3.46, 10 Nd 3.61-3.64
Nd4 0.5960 0.3672 0.2288  3 Tm 3.42-3.58, 7 Nd 3.57-3.66
Nd5 0.8617 0.6328 0.2288  3 Tm 3.42-3.58, 7 Nd 3.57-3.66
Tm1 0.2428 0.7428 0.5000  7 Nd 3.42-3.58, 2 Tm 3.61, 2 La 3.73
Tm2 0.7572 0.2572 0.5000  7 Nd 3.42-3.58, 2 Tm 3.61, 2 La 3.73

***

No. 3
## LaNd10Tm4 (PBE-GGA)

Data for a geometry-optimized LaNd10Tm4 structure.

Calculated values
E_form	503	meV/atom
calculated volume	37.383	Å³ per atom
magnetic moment	0.007	μB/f.u.
DOS(E_F)	27.2	states/eV per cell

abc: 9.6503 9.6503 9.6503
angles: 97.35 97.35 138.07
With the nearest neighbours (Å) after each atom.
Atoms (fractional coordinates):
La1 0.0000 0.0000 0.0000  8 Tm 4.21, 8 Nd 4.35
Nd1 0.0427 0.8823 0.4151  4 Nd 3.15-3.52, 2 Tm 3.36-3.37
Nd2 0.1177 0.5328 0.1604  4 Nd 3.15-3.52, 2 Tm 3.36-3.37
Nd3 0.2500 0.7500 0.5000  6 Nd 3.15-3.45
Nd4 0.3724 0.9573 0.8396  4 Nd 3.15-3.52, 2 Tm 3.36-3.37
Nd5 0.4672 0.6276 0.5849  4 Nd 3.15-3.52, 2 Tm 3.36-3.37
Nd6 0.5328 0.3724 0.4151  4 Nd 3.15-3.52, 2 Tm 3.36-3.37
Nd7 0.6276 0.0427 0.1604  4 Nd 3.15-3.52, 2 Tm 3.36-3.37
Nd8 0.7500 0.2500 0.5000  6 Nd 3.15-3.45
Nd9 0.8823 0.4672 0.8396  4 Nd 3.15-3.52, 2 Tm 3.36-3.37
Nd10 0.9573 0.1177 0.5849  4 Nd 3.15-3.52, 2 Tm 3.36-3.37
Tm1 0.3233 0.5677 0.8910  6 Nd 3.36-3.53, 2 Tm 3.41
Tm2 0.4323 0.3233 0.7556  6 Nd 3.36-3.53, 2 Tm 3.41
Tm3 0.5677 0.6767 0.2444  6 Nd 3.36-3.53, 2 Tm 3.41
Tm4 0.6767 0.4323 0.1090  6 Nd 3.36-3.53, 2 Tm 3.41

***

No. 4
## La2Nd7Tm3 (PBE-GGA)

Data for a geometry-optimized La2Nd7Tm3 structure.

Calculated values
E_form	91	meV/atom
calculated volume	34.647	Å³ per atom
magnetic moment	0.000	μB/f.u.
DOS(E_F)	16.6	states/eV per cell

abc: 5.9467 3.6509 19.1933
angles: 90.00 93.84 90.00
With the nearest neighbours (Å) after each atom.
Atoms (fractional coordinates):
La1 0.1999 0.0000 0.2983  3 Nd 3.18-3.50
La2 0.8001 0.0000 0.7017  3 Nd 3.18-3.50
Nd1 0.1721 0.5000 0.1424  2 Tm 3.39, 7 Nd 3.46-3.65, 2 La 3.50
Nd2 0.2415 0.0000 0.4646  1 La 3.18, 2 Nd 3.26-3.28
Nd3 0.3258 0.0000 0.8218  6 Nd 3.53-3.65, 2 La 3.76
Nd4 0.5000 0.5000 0.0000  4 Nd 3.46-3.65, 4 Tm 3.49
Nd5 0.6742 0.0000 0.1782  6 Nd 3.53-3.65, 2 La 3.76
Nd6 0.7585 0.0000 0.5354  1 La 3.18, 2 Nd 3.26-3.28
Nd7 0.8279 0.5000 0.8576  2 Tm 3.39, 7 Nd 3.46-3.65, 2 La 3.50
Tm1 0.0000 0.0000 0.0000  8 Nd 3.39-3.49, 2 Tm 3.65
Tm2 0.2851 0.5000 0.6294  6 Nd 3.65-3.95, 2 Tm 3.65, 4 La 3.75-3.76
Tm3 0.7149 0.5000 0.3706  6 Nd 3.65-3.95, 2 Tm 3.65, 4 La 3.75-3.76

***

No. 5
## LaNdTm (PBE-GGA)

Data for a geometry-optimized LaNdTm structure.

Calculated values
E_form	193	meV/atom
calculated volume	35.099	Å³ per atom
magnetic moment	0.001	μB/f.u.
DOS(E_F)	10.8	states/eV per cell

abc: 9.8518 9.8518 9.8518
angles: 159.51 140.91 44.53
With the nearest neighbours (Å) after each atom.
Atoms (fractional coordinates):
La1 0.1699 0.1699 0.0000  5 Tm 3.45-3.77, 2 La 3.50, 2 Nd 3.51
La2 0.8301 0.8301 0.0000  5 Tm 3.45-3.77, 2 La 3.50, 2 Nd 3.51
Nd1 0.2498 0.0000 0.2498  4 Nd 3.29-3.50, 2 La 3.51, 4 Tm 3.52
Nd2 0.7502 0.0000 0.7502  4 Nd 3.29-3.50, 2 La 3.51, 4 Tm 3.52
Tm1 0.3589 0.3589 0.0000  5 La 3.45-3.77, 2 Tm 3.50, 4 Nd 3.52
Tm2 0.6411 0.6411 0.0000  5 La 3.45-3.77, 2 Tm 3.50, 4 Nd 3.52

***

No. 6
## La7Nd3Tm2 (PBE-GGA)

Data for a geometry-optimized La7Nd3Tm2 structure.

Calculated values
E_form	69	meV/atom
calculated volume	35.326	Å³ per atom
magnetic moment	0.000	μB/f.u.
DOS(E_F)	18.2	states/eV per cell

abc: 6.5797 3.5956 18.0137
angles: 90.00 95.91 90.00
With the nearest neighbours (Å) after each atom.
Atoms (fractional coordinates):
La1 0.0000 0.0000 0.0000  8 La 3.60-3.75, 4 Nd 3.75
La2 0.2226 0.5000 0.1721  1 Tm 3.55, 8 La 3.60-3.80, 3 Nd 3.66-3.76
La3 0.2605 0.5000 0.4912  2 La 3.13-3.48, 1 Tm 3.39
La4 0.2695 0.0000 0.8303  2 Tm 3.57, 7 La 3.60-3.80, 3 Nd 3.66-3.73
La5 0.7305 0.0000 0.1697  2 Tm 3.57, 7 La 3.60-3.80, 3 Nd 3.66-3.73
La6 0.7395 0.5000 0.5088  2 La 3.13-3.48, 1 Tm 3.39
La7 0.7774 0.5000 0.8279  1 Tm 3.55, 8 La 3.60-3.80, 3 Nd 3.66-3.76
Nd1 0.4566 0.0000 0.3364  2 Nd 3.60, 7 La 3.66-3.89, 4 Tm 3.69-3.81
Nd2 0.5000 0.5000 0.0000  2 Nd 3.60, 10 La 3.73-3.76
Nd3 0.5434 0.0000 0.6636  2 Nd 3.60, 7 La 3.66-3.89, 4 Tm 3.69-3.81
Tm1 0.0556 0.5000 0.6695  5 La 3.39-3.61, 2 Tm 3.60, 2 Nd 3.69
Tm2 0.9444 0.5000 0.3305  5 La 3.39-3.61, 2 Tm 3.60, 2 Nd 3.69

***

No. 7
## La5NdTm (PBE-GGA)

Data for a geometry-optimized La5NdTm structure.

Calculated values
E_form	154	meV/atom
calculated volume	36.135	Å³ per atom
magnetic moment	0.000	μB/f.u.
DOS(E_F)	22.5	states/eV per cell

abc: 9.4562 9.4562 9.2020
angles: 93.81 93.81 141.14
With the nearest neighbours (Å) after each atom.
Atoms (fractional coordinates):
La1 0.0165 0.3883 0.6477  7 La 3.36-3.71, 1 Tm 3.67, 1 Nd 3.71
La2 0.1414 0.8586 0.7500  2 Nd 3.41, 6 La 3.48-3.71
La3 0.2435 0.5456 0.0336  4 La 3.36-3.57, 1 Tm 3.49, 1 Nd 3.63
La4 0.3883 0.0165 0.1477  7 La 3.36-3.71, 1 Tm 3.67, 1 Nd 3.71
La5 0.4544 0.7565 0.4664  4 La 3.36-3.57, 1 Tm 3.49, 1 Nd 3.63
La6 0.5456 0.2435 0.5336  4 La 3.36-3.57, 1 Tm 3.49, 1 Nd 3.63
La7 0.6117 0.9835 0.8523  7 La 3.36-3.71, 1 Tm 3.67, 1 Nd 3.71
La8 0.7565 0.4544 0.9664  4 La 3.36-3.57, 1 Tm 3.49, 1 Nd 3.63
La9 0.8586 0.1414 0.2500  2 Nd 3.41, 6 La 3.48-3.71
La10 0.9835 0.6117 0.3523  7 La 3.36-3.71, 1 Tm 3.67, 1 Nd 3.71
Nd1 0.0000 0.0000 0.0000  6 La 3.41-3.71, 2 Tm 3.51
Nd2 0.0000 0.0000 0.5000  6 La 3.41-3.71, 2 Tm 3.51
Tm1 0.4893 0.5107 0.7500  6 La 3.49-3.77, 2 Nd 3.51
Tm2 0.5107 0.4893 0.2500  6 La 3.49-3.77, 2 Nd 3.51

***

No. 8
## LaNdTm2 (PBE-GGA)

Data for a geometry-optimized LaNdTm2 structure.

Calculated values
E_form	18	meV/atom
calculated volume	32.776	Å³ per atom
magnetic moment	0.000	μB/f.u.
DOS(E_F)	4.5	states/eV per cell

abc: 11.7828 11.7828 11.7828
angles: 17.64 17.64 17.64
With the nearest neighbours (Å) after each atom.
Atoms (fractional coordinates):
La1 0.0000 0.0000 0.0000  6 Tm 3.59, 6 La 3.61
Nd1 0.5000 0.5000 0.5000  6 Tm 3.55, 6 Nd 3.61
Tm1 0.2493 0.2493 0.2493  3 Nd 3.55, 3 La 3.59, 6 Tm 3.61
Tm2 0.7507 0.7507 0.7507  3 Nd 3.55, 3 La 3.59, 6 Tm 3.61